Tb4Dy3Ho3 | PBE | optimized geometry

```
Tb4Dy3Ho3
1.0
3.709 0.000 0.000
0.000 9.250 -0.039
0.000 0.043 9.250
Dy Tb Ho
3 4 3
direct
0.500 0.171 0.829
0.000 0.501 0.000
0.000 0.000 0.499
0.000 0.372 0.628
0.000 0.628 0.372
0.000 0.872 0.872
0.000 0.128 0.128
0.500 0.671 0.671
0.500 0.329 0.329
0.500 0.829 0.171
```

Results
total DFT energy (no corrections): -4.51 eV per atom
theoretical density: 8.5 Mg/m³
DFT formation energy: 93 meV/atom
DOS(E_F): 8.5 states/eV/cell